# CrReSeN2

A relaxed structure of CrReSeN2 (PBE, Alexandria via LeMat-Bulk).

Unit cell a=3.6989 b=3.6989 c=5.1706 alpha=90.00 beta=90.00 gamma=90.00
Closest atoms and distances in Å follow each position.
Fractional positions:
Cr: 0.0000 0.0000 0.0000  4 N 1.85
Re: 0.5000 0.5000 0.5000  4 Se 2.62
Se: 0.0000 0.0000 0.5000  2 Cr 2.59, 4 Re 2.62
N: 0.0000 0.5000 0.0000  2 Cr 1.85
N: 0.5000 0.0000 0.0000  2 Cr 1.85

Computed properties:
Total magnetic moment, μB per formula unit: 3.53
Total energy, eV/atom: -7.29
ΔE_f (raw), kJ per mole of atoms: 111
Excess energy over the best structure of this formula in the dataset, eV/atom: 0.685
Symmetry: No. 123

---

# CrReSeN2

A relaxed structure of CrReSeN2 (PBE, Alexandria via LeMat-Bulk).

Unit cell a=3.8213 b=3.8213 c=5.5092 alpha=90.00 beta=90.00 gamma=90.00
Closest atoms and distances in Å follow each position.
Fractional positions:
Se: 0.0000 0.0000 0.5000  4 Cr 2.70, 2 Re 2.75
Cr: 0.5000 0.5000 0.5000  4 Se 2.70
Re: 0.0000 0.0000 0.0000  4 N 1.91
N: 0.0000 0.5000 0.0000  2 Re 1.91
N: 0.5000 0.0000 0.0000  2 Re 1.91

Computed properties:
Total magnetic moment, μB per formula unit: 3.98
Total energy, eV/atom: -7.98
ΔE_f (raw), kJ per mole of atoms: 45
Excess energy over the best structure of this formula in the dataset, eV/atom: 0.000
Symmetry: No. 123

---

# Ta2CrReN

A relaxed structure of Ta2CrReN (PBE, Alexandria via LeMat-Bulk).

Unit cell a=4.3720 b=4.3720 c=3.6183 alpha=90.00 beta=90.00 gamma=90.00
Closest atoms and distances in Å follow each position.
Fractional positions:
N: 0.0000 0.0000 0.0000  2 Cr 1.81
Cr: 0.0000 0.0000 0.5000  2 N 1.81
Re: 0.5000 0.5000 0.5000  8 Ta 2.84, 4 Cr 3.09
Ta: 0.5000 0.0000 0.0000  2 N 2.19
Ta: 0.0000 0.5000 0.0000  2 N 2.19

Computed properties:
Total magnetic moment, μB per formula unit: 0.00
Total energy, eV/atom: -11.21
ΔE_f (raw), kJ per mole of atoms: -38
Symmetry: No. 123

---

# Tb2CrReN5

A relaxed structure of Tb2CrReN5 (PBE, Alexandria via LeMat-Bulk).

Unit cell a=3.2378 b=7.2530 c=9.4233 alpha=90.00 beta=90.00 gamma=102.90
Closest atoms and distances in Å follow each position.
Fractional positions:
Tb: 0.8791 0.7583 0.8032  8 N 2.48-2.66
N: 0.4862 0.9723 0.2999  1 Re 1.87
N: 0.3089 0.6177 0.6333  2 Cr 2.09, 1 Re 2.24
N: 0.5138 0.0277 0.7999  1 Re 1.87
Tb: 0.8681 0.7362 0.1849  8 N 2.41-2.57
Cr: 0.2218 0.4436 0.0000  1 N 1.80
Re: 0.4292 0.8584 0.4784  4 N 1.87-2.07
Tb: 0.1209 0.2417 0.3032  8 N 2.48-2.66
N: 0.3489 0.6979 0.9974  1 Cr 1.80
N: 0.9766 0.9533 0.5624  2 Re 1.92
N: 0.0234 0.0467 0.0624  2 Re 1.92
N: 0.6511 0.3021 0.4974  1 Cr 1.80
N: 0.6960 0.3920 0.8644  1 Re 2.07, 2 Cr 2.09
Cr: 0.7782 0.5564 0.5000  1 N 1.80
Tb: 0.1319 0.2638 0.6849  8 N 2.41-2.57
N: 0.6911 0.3823 0.1333  2 Cr 2.09, 1 Re 2.24
N: 0.3040 0.6080 0.3644  1 Re 2.07, 2 Cr 2.09
Re: 0.5708 0.1416 0.9784  4 N 1.87-2.07

Computed properties:
Total magnetic moment, μB per formula unit: 1.97
Total energy, eV/atom: -8.90
ΔE_f (raw), kJ per mole of atoms: -76
Symmetry: No. 36

---

# Cr2ReTcN

A relaxed structure of Cr2ReTcN (PBE, Alexandria via LeMat-Bulk).

Unit cell a=3.8649 b=3.8649 c=3.9945 alpha=90.00 beta=90.00 gamma=90.00
Closest atoms and distances in Å follow each position.
Fractional positions:
Cr: 0.5000 0.0000 0.0000  2 N 1.93
Tc: 0.5000 0.5000 0.5000  4 Re 2.73, 8 Cr 2.78
Cr: 0.0000 0.5000 0.0000  2 N 1.93
Re: 0.0000 0.0000 0.5000  2 N 2.00
N: 0.0000 0.0000 0.0000  4 Cr 1.93, 2 Re 2.00

Computed properties:
Total magnetic moment, μB per formula unit: 0.04
Total energy, eV/atom: -10.13
ΔE_f (raw), kJ per mole of atoms: -5
Excess energy over the best structure of this formula in the dataset, eV/atom: 0.018
Symmetry: No. 123

---

# Cr2ReTcN

A relaxed structure of Cr2ReTcN (PBE, Alexandria via LeMat-Bulk).

Unit cell a=3.8537 b=3.8537 c=3.9945 alpha=90.00 beta=90.00 gamma=90.00
Closest atoms and distances in Å follow each position.
Fractional positions:
Tc: 0.0000 0.0000 0.5000  2 N 2.00
N: 0.0000 0.0000 0.0000  4 Cr 1.93, 2 Tc 2.00
Cr: 0.5000 0.0000 0.0000  2 N 1.93
Cr: 0.0000 0.5000 0.0000  2 N 1.93
Re: 0.5000 0.5000 0.5000  4 Tc 2.72, 8 Cr 2.78

Computed properties:
Total magnetic moment, μB per formula unit: 0.00
Total energy, eV/atom: -10.15
ΔE_f (raw), kJ per mole of atoms: -7
Excess energy over the best structure of this formula in the dataset, eV/atom: 0.000
Symmetry: No. 123

---

# Cr2ReTeN

A relaxed structure of Cr2ReTeN (PBE, Alexandria via LeMat-Bulk).

Unit cell a=3.8644 b=4.7410 c=3.8644 alpha=90.00 beta=90.00 gamma=90.00
Closest atoms and distances in Å follow each position.
Fractional positions:
Te: 0.0000 0.5000 0.0000  2 N 2.37
Cr: 0.0000 0.0000 0.5000  2 N 1.93
Re: 0.5000 0.5000 0.5000  4 Te 2.73, 8 Cr 3.06
N: 0.0000 0.0000 0.0000  4 Cr 1.93
Cr: 0.5000 0.0000 0.0000  2 N 1.93

Computed properties:
Total magnetic moment, μB per formula unit: 3.58
Total energy, eV/atom: -8.03
ΔE_f (raw), kJ per mole of atoms: 58
Symmetry: No. 123

---

# CrReTe2N

A relaxed structure of CrReTe2N (PBE, Alexandria via LeMat-Bulk).

Unit cell a=5.2517 b=5.2517 c=3.4758 alpha=90.00 beta=90.00 gamma=90.00
Closest atoms and distances in Å follow each position.
Fractional positions:
N: 0.0000 0.0000 0.5000  2 Cr 1.74
Te: 0.5000 0.0000 0.0000  2 Cr 2.63
Re: 0.5000 0.5000 0.5000  8 Te 3.15, 2 Re 3.48
Cr: 0.0000 0.0000 0.0000  2 N 1.74
Te: 0.0000 0.5000 0.0000  2 Cr 2.63

Computed properties:
Total magnetic moment, μB per formula unit: 3.83
Total energy, eV/atom: -6.49
ΔE_f (raw), kJ per mole of atoms: 81
Excess energy over the best structure of this formula in the dataset, eV/atom: 0.000
Symmetry: No. 123